Compound: Y3Cu5Te12
Source: Alexandria via LeMat-Bulk
Functional: PBE-GGA
Structure: optimized geometry

Geometry as POSCAR:
```
Y3Cu5Te12
1.0
14.392 0.000 0.000
-4.797 13.569 0.000
-4.797 -6.785 11.751
Te Cu Y
48 20 12
Direct
0.175 0.089 0.966
0.291 0.413 0.825
0.122 0.413 0.089
0.966 0.589 0.175
0.534 0.209 0.122
0.087 0.911 0.378
0.089 0.175 0.466
0.709 0.587 0.175
0.791 0.466 0.378
0.413 0.291 0.325
0.911 0.825 0.534
0.825 0.913 0.291
0.378 0.966 0.791
0.466 0.791 0.878
0.791 0.325 0.913
0.589 0.622 0.413
0.675 0.209 0.587
0.709 0.122 0.034
0.378 0.411 0.087
0.175 0.087 0.709
0.825 0.911 0.034
0.413 0.122 0.589
0.089 0.913 0.122
0.466 0.675 0.089
0.587 0.709 0.675
0.034 0.411 0.825
0.209 0.534 0.622
0.622 0.034 0.209
0.325 0.534 0.411
0.878 0.587 0.911
0.589 0.966 0.675
0.411 0.378 0.587
0.325 0.791 0.413
0.209 0.675 0.087
0.122 0.709 0.534
0.911 0.087 0.878
0.587 0.878 0.411
0.966 0.378 0.291
0.034 0.622 0.709
0.878 0.291 0.466
0.675 0.466 0.589
0.534 0.325 0.911
0.913 0.825 0.791
0.622 0.589 0.913
0.411 0.034 0.325
0.087 0.175 0.209
0.291 0.878 0.966
0.913 0.089 0.622
0.750 0.125 0.875
0.000 0.500 0.000
0.000 0.000 0.000
0.125 0.750 0.375
0.375 0.125 0.750
0.250 0.375 0.625
0.875 0.625 0.750
0.500 0.500 0.500
0.500 0.500 0.000
0.375 0.250 0.125
0.125 0.375 0.250
0.625 0.875 0.250
0.625 0.750 0.875
0.875 0.250 0.625
0.000 0.000 0.500
0.500 0.000 0.000
0.500 0.000 0.500
0.750 0.625 0.375
0.000 0.500 0.500
0.250 0.875 0.125
0.875 0.125 0.250
0.375 0.750 0.625
0.750 0.875 0.625
0.125 0.875 0.750
0.250 0.125 0.375
0.875 0.750 0.125
0.625 0.250 0.375
0.125 0.250 0.875
0.250 0.625 0.875
0.625 0.375 0.750
0.375 0.625 0.250
0.750 0.375 0.125
```

Computed properties:
For the total moment, the calculation gives 0.00 μB/f.u. The space group is No. 230. The value obtained for the calculated total energy is -4.31 eV per atom.